(1)
Computed, not measured: Ac4Cd3Cu after structural relaxation at the PBE-GGA level of DFT.

## Properties
Energy in eV per atom: -3.142

Cell: 3.9904 3.9904 16.2677 Å, 90.00 90.00 90.00°
Last column: nearest neighbours and their distance in Å.
Space group P4/mmm (No. 123)
One atom of each set of equivalent atoms:
1 Ac 0.0000 0.0000 0.1112 [2 per cell]  4 Cu 3.35, 4 Cd 3.54, 1 Ac 3.62
2 Ac 0.0000 0.0000 0.3712 [2 per cell]  8 Cd 3.51
3 Cd 0.5000 0.5000 0.2431 [2 per cell]  8 Ac 3.51-3.54
4 Cd 0.5000 0.5000 0.5000 [1 per cell]  8 Ac 3.51
5 Cu 0.5000 0.5000 0.0000 [1 per cell]  8 Ac 3.35

***

(2)
Computed, not measured: HfPt4Rh3 after structural relaxation at the PBE-GGA level of DFT.

## Properties
Energy in eV per atom: -7.157

Cell: 2.8449 7.3028 12.7993 Å, 90.00 90.00 90.00°
Last column: nearest neighbours and their distance in Å.
Space group Immm (No. 71)
One atom of each set of equivalent atoms:
1 Hf 0.0000 0.0000 0.0000 [2 per cell]  4 Rh 2.57, 2 Hf 2.84
2 Pt 0.0000 0.3116 0.1482 [8 per cell]  5 Rh 2.69-2.74, 3 Pt 2.75-2.84, 1 Hf 2.96
3 Rh 0.0000 0.0000 0.5000 [2 per cell]  8 Pt 2.74, 2 Rh 2.84
4 Rh 0.0000 0.5000 0.3324 [4 per cell]  2 Hf 2.57, 6 Pt 2.69-2.73, 2 Rh 2.84

***

(3)
Computed, not measured: ZrInRuI2 after structural relaxation at the PBE-GGA level of DFT.

## Properties
Formation energy from raw total energies in meV/atom: 397.2
Energy in eV per atom: -4.335

Cell: 5.8231 5.8231 4.9227 Å, 90.00 90.00 90.00°
Last column: nearest neighbours and their distance in Å.
Space group P4/mmm (No. 123)
One atom of each set of equivalent atoms:
1 Zr 0.0000 0.0000 0.0000 [1 per cell]  2 Ru 2.46
2 In 0.5000 0.5000 0.5000 [1 per cell]  8 I 3.81, 4 Ru 4.12
3 Ru 0.0000 0.0000 0.5000 [1 per cell]  2 Zr 2.46
4 I 0.0000 0.5000 0.0000 [2 per cell]  2 Zr 2.91

***

| no. | volume (A^3/atom) | Fermi-level density of states (states/eV/f.u.) |
| --- | --- | --- |
| 1 | 32.4 | 9.4 |
| 2 | 16.6 | 10.3 |
| 3 | 33.4 | 3.7 |